A relaxed structure of ZrTe2PdN. Source: Alexandria, functional PBE.

Cell and atoms, written as CIF:
```
data_ZrTe2PdN
_cell_length_a 5.4608
_cell_length_b 5.4608
_cell_length_c 3.7470
_cell_angle_alpha 90.00
_cell_angle_beta 90.00
_cell_angle_gamma 90.00
_symmetry_space_group_name_H-M 'P 4/m m m'
_symmetry_Int_Tables_number 123
_symmetry_space_group_name_Hall '-P 4 2'
loop_
_atom_site_label
_atom_site_type_symbol
_atom_site_fract_x
_atom_site_fract_y
_atom_site_fract_z
Zr1 Zr 0.0000 0.0000 0.0000
Te1 Te 0.0000 0.5000 0.5000
Pd1 Pd 0.5000 0.5000 0.5000
N1 N 0.5000 0.5000 0.0000
```

Output
Formation energy from raw total energies: 0.451 eV per atom
Calculated volume: 111.7 Å³ per cell
Density of states at the Fermi level: 0.9483 states/eV per atom
Crystal system: tetragonal